A relaxed structure of TaTcIF2. Source: Alexandria, functional GGA-PBE.

a = 4.2569 Å, b = 4.2569 Å, c = 5.3027 Å
α = 90.00°, β = 90.00°, γ = 90.00°
With the nearest neighbours (Å) after each atom.
Space group P4/mmm (No. 123)
Inequivalent atoms, fractional coordinates:
Ta1 0.0000 0.0000 0.0000 [1 per cell]  4 Tc 3.01
Tc1 0.5000 0.5000 0.0000 [1 per cell]  2 I 2.65
I1 0.5000 0.5000 0.5000 [1 per cell]  4 F 2.13
F1 0.0000 0.5000 0.5000 [2 per cell]  2 I 2.13

Calculated values
Energy in Ha/atom: -0.1769
E_form (uncorrected) in meV/atom: 688
Magnetization in μB per formula unit: 1.01